1.
Below is an optimized crystal structure of CsDyHo4S8, with properties calculated at the PBE-GGA level.

a b c (Å): 8.3276 8.3276 8.3276
angles (deg): 59.78 59.78 59.78
Last column: nearest neighbours and their distance in Å.
Positions (direct):
Cs1 0.0000 0.0000 0.0000  4 S 2.98-2.99
Dy1 0.6313 0.6313 0.6313  6 S 2.65-2.93
Ho1 0.1125 0.6308 0.6308  6 S 2.64-2.92
Ho2 0.2515 0.2515 0.2515  4 S 2.68-2.69
Ho3 0.6308 0.1125 0.6308  6 S 2.64-2.92
Ho4 0.6308 0.6308 0.1125  6 S 2.64-2.92
S1 0.3831 0.3831 0.3831  4 Ho 2.69-2.92
S2 0.3830 0.3830 0.8563  3 Ho 2.68-2.92, 1 Dy 2.93
S3 0.3830 0.8563 0.3830  3 Ho 2.68-2.92, 1 Dy 2.93
S4 0.4414 0.8556 0.8556  2 Ho 2.64, 1 Dy 2.65
S5 0.8539 0.8539 0.8539  3 Ho 2.64
S6 0.8563 0.3830 0.3830  3 Ho 2.68-2.92, 1 Dy 2.93
S7 0.8556 0.4414 0.8556  2 Ho 2.64, 1 Dy 2.65
S8 0.8556 0.8556 0.4414  2 Ho 2.64, 1 Dy 2.65

Computed properties:
Space group   No. 160
Energy   -82.80 eV per cell

***

2.
Below is an optimized crystal structure of Na2ZrAl2S6, with properties calculated at the PBE-GGA level.

a b c (Å): 6.2422 6.2422 7.1007
angles (deg): 98.33 98.33 120.10
Last column: nearest neighbours and their distance in Å.
Positions (direct):
Na1 0.1632 0.8368 0.0000  6 S 2.85-2.93
Na2 0.8368 0.1632 0.0000  6 S 2.85-2.93
Zr1 0.0000 0.0000 0.5000  6 S 2.58
Al1 0.3319 0.6681 0.5000  6 S 2.43-2.47
Al2 0.6681 0.3319 0.5000  6 S 2.43-2.47
S1 0.0636 0.4147 0.7035  2 Al 2.43-2.47, 1 Zr 2.58
S2 0.2846 0.2846 0.2983  2 Al 2.46, 1 Zr 2.58
S3 0.4147 0.0636 0.7035  2 Al 2.43-2.47, 1 Zr 2.58
S4 0.5853 0.9364 0.2965  2 Al 2.43-2.47, 1 Zr 2.58
S5 0.7154 0.7154 0.7017  2 Al 2.46, 1 Zr 2.58
S6 0.9364 0.5853 0.2965  2 Al 2.43-2.47, 1 Zr 2.58

Computed properties:
Space group   No. 12
Energy   -57.23 eV per cell

***

3.
Below is an optimized crystal structure of Hf6Bi3Ir, with properties calculated at the PBE-GGA level.

a b c (Å): 7.0911 7.7159 11.0903
angles (deg): 90.00 126.19 90.00
Last column: nearest neighbours and their distance in Å.
Positions (direct):
Hf1 0.0012 0.0837 0.2381  1 Ir 2.71, 2 Bi 2.93-3.04
Hf2 0.0012 0.4163 0.7381  1 Ir 2.71, 2 Bi 2.93-3.04
Hf3 0.2144 0.7124 0.0538  1 Ir 2.55
Hf4 0.2144 0.7876 0.5538  1 Ir 2.55
Hf5 0.3805 0.1330 0.0396  1 Ir 2.67
Hf6 0.3805 0.3670 0.5396  1 Ir 2.67
Hf7 0.6195 0.6330 0.4604  1 Ir 2.67
Hf8 0.6195 0.8670 0.9604  1 Ir 2.67
Hf9 0.7856 0.2124 0.4462  1 Ir 2.55
Hf10 0.7856 0.2876 0.9462  1 Ir 2.55
Hf11 0.9988 0.5837 0.2619  1 Ir 2.71, 2 Bi 2.93-3.04
Hf12 0.9988 0.9163 0.7619  1 Ir 2.71, 2 Bi 2.93-3.04
Bi1 0.3024 0.1305 0.7252  8 Hf 2.93-3.19
Bi2 0.3024 0.3695 0.2252  8 Hf 2.93-3.19
Bi3 0.5000 0.0000 0.5000  6 Hf 2.93-3.06
Bi4 0.5000 0.5000 0.0000  6 Hf 2.93-3.06
Bi5 0.6976 0.6305 0.7748  8 Hf 2.93-3.19
Bi6 0.6976 0.8695 0.2748  8 Hf 2.93-3.19
Ir1 0.0000 0.0000 0.0000  6 Hf 2.55-2.71
Ir2 0.0000 0.5000 0.5000  6 Hf 2.55-2.71

Computed properties:
Space group   No. 14
Energy   -161.48 eV per cell
Calculated formation energy   -52 meV per atom